# 1
AsAu2Br: optimized geometry, PBE-GGA.

Structure (POSCAR):
```
AsAu2Br
1.0
3.374 0.000 0.000
0.000 3.374 0.000
0.000 0.000 7.396
As Au Br
1 2 1
direct
0.000 0.000 0.000
0.500 0.500 0.210
0.500 0.500 0.790
0.000 0.000 0.500
```

ΔE to the lowest computed polymorph (eV/atom): 0.2852
Raw formation energy (eV per atom): 0.321

# 2
CaAs2AuBr: optimized geometry, PBE-GGA.

Structure (POSCAR):
```
CaAs2AuBr
1.0
5.608 0.000 0.000
0.000 5.608 0.000
0.000 0.000 5.324
Ca As Au Br
1 2 1 1
direct
0.000 0.000 0.000
0.000 0.500 0.000
0.500 0.000 0.000
0.500 0.500 0.500
0.000 0.000 0.500
```

ΔE to the lowest computed polymorph (eV/atom): 0.5640
Raw formation energy (eV per atom): 0.549

# 3
CaAsAuBr2: optimized geometry, PBE-GGA.

Structure (POSCAR):
```
CaAsAuBr2
1.0
5.372 0.000 0.000
0.000 5.372 0.000
0.000 0.000 6.778
Ca As Au Br
1 1 1 2
direct
0.000 0.000 0.000
0.000 0.000 0.500
0.500 0.500 0.500
0.000 0.500 0.000
0.500 0.000 0.000
```

ΔE to the lowest computed polymorph (eV/atom): 0.1976
Raw formation energy (eV per atom): -0.059

# 4
CaAsAuBr2: optimized geometry, PBE-GGA.

Structure (POSCAR):
```
CaAsAuBr2
1.0
5.354 0.000 0.000
0.000 5.354 0.000
0.000 0.000 5.153
Ca As Au Br
1 1 1 2
direct
0.000 0.000 0.000
0.500 0.500 0.000
0.500 0.500 0.500
0.000 0.500 0.500
0.500 0.000 0.500
```

ΔE to the lowest computed polymorph (eV/atom): 0.0000
Raw formation energy (eV per atom): -0.256

# 5
CaAs2AuBr: optimized geometry, PBE-GGA.

Structure (POSCAR):
```
CaAs2AuBr
1.0
4.905 0.000 0.000
0.000 4.905 0.000
0.000 0.000 6.273
Ca As Au Br
1 2 1 1
direct
0.000 0.000 0.000
0.000 0.500 0.500
0.500 0.000 0.500
0.500 0.500 0.500
0.500 0.500 0.000
```

ΔE to the lowest computed polymorph (eV/atom): 0.0000
Raw formation energy (eV per atom): -0.015

# 6
CdAs2AuBr: optimized geometry, PBE-GGA.

Structure (POSCAR):
```
CdAs2AuBr
1.0
5.090 0.000 0.000
0.000 5.090 0.000
0.000 0.000 5.414
Cd As Au Br
1 2 1 1
direct
0.000 0.000 0.000
0.000 0.500 0.500
0.500 0.000 0.500
0.500 0.500 0.500
0.500 0.500 0.000
```

ΔE to the lowest computed polymorph (eV/atom): 0.0000
Raw formation energy (eV per atom): 0.590

> Which formula does entry 5 have?

CaAs2AuBr